Density functional theory data (PBE-GGA) for a relaxed structure of UNbOs.

abc: 6.3750 6.3750 6.3750
angles: 90.00 90.00 90.00
Space group F-43m (No. 216)
One atom of each set of equivalent atoms:
U 0.0000 0.0000 0.0000
Nb 0.0000 0.0000 0.5000
Os 0.2500 0.2500 0.7500

Values from the calculation:
M_tot = 8.9 μB per cell
ΔE_f = 0.388 eV per atom
E_tot = -10.484 eV per atom